A relaxed structure of MgNbH, computed with GGA-PBE.

Results
Density   3.8 g cm⁻³
Final energy   -3.583 eV per atom
Excess energy over the best structure of this formula in the dataset   4.56 eV per formula unit
V   17.26 Å³ per atom
M_tot   0.000 μB per atom

abc: 4.829 4.829 2.563
angles: 90.00 90.00 120.00
Positions (direct):
Nb 0.333 0.667 0.000
H 0.667 0.333 0.500
Mg 0.000 0.000 0.000